Here is LaPrGeIr after structural relaxation from Alexandria. Energies are from PBE.

Cell: 4.3308 4.1865 5.9913 Å, 90.00 111.19 90.00°
Fractional positions:
Pr 0.1436 0.0000 0.2871
La 0.8641 0.5000 0.7283
Ir 0.4228 0.0000 0.8456
Ge 0.5695 0.5000 0.1391

Calculated values
E ... -6.5639 eV/atom
DFT formation energy ... -768 meV/atom

Here is MnGaPt after structural relaxation from Alexandria. Energies are from PBE.

Cell: 2.8418 4.3151 4.3151 Å, 120.00 90.00 90.00°
Site moments in Bohr magnetons follow the coordinates.
Fractional positions:
Pt 0.1674 0.0000 0.0000  0.14
Ga 0.1654 0.6667 0.3333  -0.08
Mn 0.6672 0.3333 0.6667  3.67

Calculated values
E ... -6.4773 eV/atom
DFT formation energy ... -398 meV/atom

Here is HfBe2H after structural relaxation from Alexandria. Energies are from PBE.

Cell: 4.9049 4.9049 4.9086 Å, 60.02 60.02 90.00°
Site moments in Bohr magnetons follow the coordinates.
Fractional positions:
Be 0.8750 0.6248 0.7500  0.00
Be 0.3752 0.6250 0.2500  0.01
Be 0.3748 0.1250 0.2500  0.01
Be 0.3750 0.6252 0.7500  0.01
H 0.2500 0.7500 0.5000  0.00
H 0.5000 0.5000 0.0000  0.00
Hf 0.0000 0.0000 0.0000  0.21
Hf 0.7500 0.2500 0.5000  0.21

Calculated values
E above lowest polymorph ... 0.00 eV/f.u.
E ... -5.0088 eV/atom

Here is LiMgPaTc after structural relaxation from Alexandria. Energies are from PBE.

Cell: 4.7116 4.7116 4.7116 Å, 60.00 60.00 60.00°
Fractional positions:
Tc 0.2500 0.2500 0.2500
Mg 0.0000 0.0000 0.0000
Li 0.7500 0.7500 0.7500
Pa 0.5000 0.5000 0.5000

Calculated values
E ... -5.7096 eV/atom
DFT formation energy ... 133 meV/atom

Here is Sm6CdRh2 after structural relaxation from Alexandria. Energies are from PBE.

Cell: 8.6609 8.6609 8.6609 Å, 104.62 110.81 113.11°
Fractional positions:
Cd 0.0000 0.0000 0.0000
Cd 0.0000 0.5000 0.5000
Rh 0.6671 0.0000 0.6671
Rh 0.5000 0.3688 0.8688
Rh 0.3329 0.0000 0.3329
Rh 0.5000 0.6312 0.1312
Sm 0.8006 0.2360 0.0365
Sm 0.8006 0.7640 0.5646
Sm 0.1994 0.7640 0.9635
Sm 0.5316 0.7120 0.8196
Sm 0.3077 0.9802 0.6724
Sm 0.6923 0.0198 0.3276
Sm 0.8924 0.7120 0.1804
Sm 0.1994 0.2360 0.4354
Sm 0.3077 0.6353 0.3276
Sm 0.4684 0.2880 0.1804
Sm 0.1076 0.2880 0.8196
Sm 0.6923 0.3647 0.6724

Calculated values
E ... -5.3452 eV/atom
DFT formation energy ... -464 meV/atom

Here is ScTaTiMo after structural relaxation from Alexandria. Energies are from PBE.

Cell: 4.6628 4.6628 4.6628 Å, 60.00 60.00 60.00°
Fractional positions:
Ti 0.2500 0.2500 0.2500
Sc 0.5000 0.5000 0.5000
Ta 0.7500 0.7500 0.7500
Mo 0.0000 0.0000 0.0000

Calculated values
E ... -9.1357 eV/atom
DFT formation energy ... 92 meV/atom

Here is TmPu2Zn9 after structural relaxation from Alexandria. Energies are from PBE.

Cell: 5.3472 5.3472 9.2856 Å, 73.27 73.27 60.00°
Site moments in Bohr magnetons follow the coordinates.
Fractional positions:
Pu 0.8523 0.8523 0.4431  5.34
Pu 0.1477 0.1477 0.5569  5.34
Tm 0.0000 0.0000 0.0000  -0.04
Zn 0.9225 0.4174 0.2427  -0.01
Zn 0.3352 0.3352 0.9945  -0.02
Zn 0.6648 0.6648 0.0055  -0.02
Zn 0.4174 0.4174 0.2427  -0.01
Zn 0.5000 0.5000 0.5000  0.01
Zn 0.5826 0.5826 0.7573  -0.01
Zn 0.0775 0.5826 0.7573  -0.01
Zn 0.5826 0.0775 0.7573  -0.01
Zn 0.4174 0.9225 0.2427  -0.01

Calculated values
E ... -3.9103 eV/atom
DFT formation energy ... -194 meV/atom

Here is MgTiCd4 after structural relaxation from Alexandria. Energies are from PBE.

Cell: 4.3639 3.0723 13.5384 Å, 76.77 80.73 44.75°
Site moments in Bohr magnetons follow the coordinates.
Fractional positions:
Ti 0.0000 0.0000 0.0000  0.77
Cd 0.0010 0.6653 0.3327  0.00
Cd 0.4982 0.1603 0.8432  0.00
Cd 0.5018 0.8397 0.1568  0.00
Cd 0.9990 0.3347 0.6673  0.00
Mg 0.5000 0.5000 0.5000  0.00

Calculated values
E ... -2.2046 eV/atom
DFT formation energy ... -13 meV/atom

Here is CaGeBr2 after structural relaxation from Alexandria. Energies are from PBE.

Cell: 6.6974 4.1415 9.0313 Å, 90.00 98.02 90.00°
Fractional positions:
Br 0.6777 0.5000 0.9162
Br 0.2553 0.0000 0.1031
Br 0.3684 0.5000 0.4969
Br 0.8001 0.0000 0.3565
Ca 0.5434 0.5000 0.2203
Ca 0.6258 0.0000 0.6579
Ge 0.1980 0.0000 0.8028
Ge 0.9827 0.5000 0.7411

Calculated values
E above lowest polymorph ... 0.13 eV/f.u.
E ... -3.7034 eV/atom

Here is CoW3 after structural relaxation from Alexandria. Energies are from PBE.

Cell: 3.9037 3.9037 3.9037 Å, 90.00 90.00 90.00°
Site moments in Bohr magnetons follow the coordinates.
Fractional positions:
W 0.0000 0.5000 0.5000  0.01
W 0.5000 0.0000 0.5000  0.01
W 0.5000 0.5000 0.0000  0.01
Co 0.0000 0.0000 0.0000  0.38

Calculated values
E above lowest polymorph ... 0.68 eV/f.u.
E ... -11.2364 eV/atom
DFT formation energy ... 255 meV/atom

Here is Tm6Mg2Tc after structural relaxation from Alexandria. Energies are from PBE.

Cell: 5.4755 8.6694 7.3124 Å, 126.41 112.00 90.00°
Fractional positions:
Mg 0.3452 0.3449 0.6898
Mg 0.6548 0.6551 0.3102
Tm 0.1580 0.4428 0.3162
Tm 0.5003 0.8240 0.0006
Tm 0.4997 0.1760 0.9994
Tm 0.8423 0.1264 0.6845
Tm 0.1577 0.8736 0.3155
Tm 0.8420 0.5572 0.6838
Tc 0.0000 0.0000 0.0000

Calculated values
E above lowest polymorph ... 1.78 eV/f.u.
E ... -4.3167 eV/atom
DFT formation energy ... 170 meV/atom

Here is CeLu3H after structural relaxation from Alexandria. Energies are from PBE.

Cell: 4.8761 4.8761 4.8761 Å, 90.00 90.00 90.00°
Site moments in Bohr magnetons follow the coordinates.
Fractional positions:
Lu 0.5000 0.0000 0.0000  -0.01
Lu 0.0000 0.5000 0.0000  -0.01
Lu 0.0000 0.0000 0.5000  -0.01
H 0.0000 0.0000 0.0000  0.00
Ce 0.5000 0.5000 0.5000  -0.53

Calculated values
E ... -4.6703 eV/atom

Here is RbN2OF after structural relaxation from Alexandria. Energies are from PBE.

Cell: 5.8056 5.8056 5.4350 Å, 90.00 90.00 90.00°
Site moments in Bohr magnetons follow the coordinates.
Fractional positions:
F 0.5000 0.5000 0.5000  0.42
O 0.0000 0.0000 0.5000  1.23
Rb 0.0000 0.0000 0.0000  0.04
N 0.0000 0.5000 0.0000  1.93
N 0.5000 0.0000 0.0000  1.93

Calculated values
E ... -2.9156 eV/atom

Here is ErBiRu2 after structural relaxation from Alexandria. Energies are from PBE.

Cell: 3.4741 4.6376 4.6376 Å, 90.00 90.00 90.00°
Fractional positions:
Ru 0.0000 0.0000 0.5000
Ru 0.0000 0.5000 0.0000
Bi 0.5000 0.0000 0.0000
Er 0.5000 0.5000 0.5000

Calculated values
E above lowest polymorph ... 0.21 eV/f.u.
E ... -6.9113 eV/atom
DFT formation energy ... -162 meV/atom

Here is VCoCuIr after structural relaxation from Alexandria. Energies are from PBE.

Cell: 4.1457 4.1457 4.1457 Å, 60.00 60.00 60.00°
Fractional positions:
V 0.7500 0.7500 0.7500
Co 0.5000 0.5000 0.5000
Ir 0.0000 0.0000 0.0000
Cu 0.2500 0.2500 0.2500

Calculated values
E ... -7.4397 eV/atom
DFT formation energy ... -144 meV/atom

Here is La2DyNpAs4 after structural relaxation from Alexandria. Energies are from PBE.

Cell: 4.2376 7.3387 7.3581 Å, 109.31 90.00 90.00°
Site moments in Bohr magnetons follow the coordinates.
Fractional positions:
La 0.5000 0.0000 0.5000  0.02
La 0.0000 0.5000 0.5000  0.02
Np 0.5000 0.5000 0.0000  3.66
As 0.5000 0.7527 0.7659  -0.04
As 0.5000 0.2473 0.2341  -0.04
As 0.0000 0.2570 0.7670  -0.06
As 0.0000 0.7430 0.2330  -0.06
Dy 0.0000 0.0000 0.0000  0.01

Calculated values
E ... -7.0694 eV/atom
DFT formation energy ... -1320 meV/atom

Here is TaZnW2 after structural relaxation from Alexandria. Energies are from PBE.

Cell: 5.1508 5.1508 5.1508 Å, 135.95 135.95 64.06°
Fractional positions:
W 0.0000 0.0000 0.0000
W 0.5000 0.5000 0.0000
Ta 0.2500 0.7500 0.5000
Zn 0.7500 0.2500 0.5000

Calculated values
E ... -9.4896 eV/atom
DFT formation energy ... 269 meV/atom

Here is TiTlGa3 after structural relaxation from Alexandria. Energies are from PBE.

Cell: 5.0889 5.0889 5.0889 Å, 90.00 90.00 90.00°
Site moments in Bohr magnetons follow the coordinates.
Fractional positions:
Ga 0.0000 0.5000 0.0000  0.10
Ga 0.5000 0.0000 0.0000  0.06
Ga 0.0000 0.0000 0.5000  0.06
Tl 0.5000 0.5000 0.5000  0.00
Ti 0.0000 0.0000 0.0000  0.78

Calculated values
E above lowest polymorph ... 0.00 eV/f.u.
E ... -3.5526 eV/atom
DFT formation energy ... 316 meV/atom

Here is HfCoSiNi after structural relaxation from Alexandria. Energies are from PBE.

Cell: 4.2149 4.2149 4.2149 Å, 60.00 60.00 60.00°
Fractional positions:
Ni 0.0000 0.0000 0.0000
Co 0.5000 0.5000 0.5000
Si 0.2500 0.2500 0.2500
Hf 0.7500 0.7500 0.7500

Calculated values
E ... -7.6157 eV/atom

Here is Co2OsPt after structural relaxation from Alexandria. Energies are from PBE.

Cell: 2.6704 4.6123 4.4364 Å, 90.00 90.00 90.00°
Site moments in Bohr magnetons follow the coordinates.
Fractional positions:
Pt 0.0000 0.5000 0.5000  0.22
Os 0.5000 0.0000 0.5000  0.48
Co 0.5000 0.5000 0.0000  1.96
Co 0.0000 0.0000 0.0000  1.70

Calculated values
E ... -7.5379 eV/atom
DFT formation energy ... 333 meV/atom

Here is RbCSe3 after structural relaxation from Alexandria. Energies are from PBE.

Cell: 6.4128 6.4128 6.4128 Å, 90.00 90.00 90.00°
Site moments in Bohr magnetons follow the coordinates.
Fractional positions:
Se 0.0000 0.0000 0.5000  1.04
Se 0.5000 0.0000 0.0000  0.79
Se 0.0000 0.5000 0.0000  0.91
C 0.5000 0.5000 0.5000  0.07
Rb 0.0000 0.0000 0.0000  0.03

Calculated values
E above lowest polymorph ... 8.91 eV/f.u.
E ... -1.6042 eV/atom